Entry 1:
KCo2Au | meta-GGA SCAN | single point on PBEsol structure

Cell and atoms, written as CIF:
```
data_KCo2Au
_chemical_formula_sum 'K1 Co2 Au1'
_cell_length_a 5.174
_cell_length_b 5.174
_cell_length_c 2.620
_cell_angle_alpha 90.00
_cell_angle_beta 90.00
_cell_angle_gamma 114.04
_symmetry_space_group_name_H-M 'P 1'
_symmetry_Int_Tables_number 1
loop_
_symmetry_equiv_pos_as_xyz
'x,y,z'
loop_
_atom_site_label
_atom_site_type_symbol
_atom_site_fract_x
_atom_site_fract_y
_atom_site_fract_z
K1 K 0.000 0.000 0.000
Co1 Co 0.000 0.500 0.500
Co2 Co 0.500 0.000 0.500
Au1 Au 0.500 0.500 0.000
```

Summary:
- energy above the most stable polymorph in this dataset (kJ/mol of formula units) = 163
- raw total energy (eV per cell) = -108.967
- space-group type = No. 65
- D(E_F) (states/eV per atom) = 0.32
- magnetization (μB/f.u.) = 3.71
- crystal system = orthorhombic
- ΔE_f (eV/atom) = 0.78

Entry 2:
KCo2Au | meta-GGA SCAN | single point on PBEsol structure

Cell and atoms, written as CIF:
```
data_KCo2Au
_chemical_formula_sum 'K1 Co2 Au1'
_cell_length_a 2.901
_cell_length_b 2.901
_cell_length_c 8.077
_cell_angle_alpha 90.00
_cell_angle_beta 90.00
_cell_angle_gamma 90.00
_symmetry_space_group_name_H-M 'P 1'
_symmetry_Int_Tables_number 1
loop_
_symmetry_equiv_pos_as_xyz
'x,y,z'
loop_
_atom_site_label
_atom_site_type_symbol
_atom_site_fract_x
_atom_site_fract_y
_atom_site_fract_z
K1 K 0.000 0.000 0.000
Co1 Co 0.000 0.000 0.547
Co2 Co 0.500 0.500 0.678
Au1 Au 0.500 0.500 0.327
```

Summary:
- energy above the most stable polymorph in this dataset (kJ/mol of formula units) = 0
- raw total energy (eV per cell) = -110.654
- space-group type = No. 99
- D(E_F) (states/eV per atom) = 0.64
- magnetization (μB/f.u.) = 3.49
- crystal system = tetragonal
- ΔE_f (eV/atom) = 0.36

Entry 3:
La2CoAu | meta-GGA SCAN | single point on PBEsol structure

Cell and atoms, written as CIF:
```
data_La2CoAu
_chemical_formula_sum 'La2 Co1 Au1'
_cell_length_a 3.586
_cell_length_b 3.555
_cell_length_c 7.234
_cell_angle_alpha 90.00
_cell_angle_beta 97.42
_cell_angle_gamma 90.00
_symmetry_space_group_name_H-M 'P 1'
_symmetry_Int_Tables_number 1
loop_
_symmetry_equiv_pos_as_xyz
'x,y,z'
loop_
_atom_site_label
_atom_site_type_symbol
_atom_site_fract_x
_atom_site_fract_y
_atom_site_fract_z
La1 La 0.070 0.000 0.275
La2 La 0.930 0.000 0.725
Co1 Co 0.500 0.500 0.500
Au1 Au 0.500 0.500 0.000
```

Summary:
- raw total energy (eV per cell) = -174.311
- space-group type = No. 10
- D(E_F) (states/eV per atom) = 0.73
- magnetization (μB/f.u.) = 0.74
- crystal system = monoclinic
- ΔE_f (eV/atom) = -0.41

Entry 4:
LaCoAu2 | meta-GGA SCAN | single point on PBEsol structure

Cell and atoms, written as CIF:
```
data_LaCoAu2
_chemical_formula_sum 'La1 Co1 Au2'
_cell_length_a 5.391
_cell_length_b 5.391
_cell_length_c 5.391
_cell_angle_alpha 48.85
_cell_angle_beta 48.85
_cell_angle_gamma 48.85
_symmetry_space_group_name_H-M 'P 1'
_symmetry_Int_Tables_number 1
loop_
_symmetry_equiv_pos_as_xyz
'x,y,z'
loop_
_atom_site_label
_atom_site_type_symbol
_atom_site_fract_x
_atom_site_fract_y
_atom_site_fract_z
La1 La 0.000 0.000 0.000
Co1 Co 0.185 0.185 0.185
Au1 Au 0.528 0.528 0.528
Au2 Au 0.789 0.789 0.789
```

Summary:
- raw total energy (eV per cell) = -200.659
- space-group type = No. 160
- D(E_F) (states/eV per atom) = 0.78
- magnetization (μB/f.u.) = 1.18
- crystal system = trigonal
- ΔE_f (eV/atom) = -0.48

Entry 5:
La2CoAu | meta-GGA SCAN | single point on PBEsol structure

Cell and atoms, written as CIF:
```
data_La2CoAu
_chemical_formula_sum 'La2 Co1 Au1'
_cell_length_a 4.353
_cell_length_b 5.631
_cell_length_c 5.631
_cell_angle_alpha 43.10
_cell_angle_beta 90.00
_cell_angle_gamma 90.00
_symmetry_space_group_name_H-M 'P 1'
_symmetry_Int_Tables_number 1
loop_
_symmetry_equiv_pos_as_xyz
'x,y,z'
loop_
_atom_site_label
_atom_site_type_symbol
_atom_site_fract_x
_atom_site_fract_y
_atom_site_fract_z
La1 La 0.000 0.000 0.000
La2 La 0.500 0.296 0.296
Co1 Co 0.500 0.529 0.529
Au1 Au 0.000 0.708 0.708
```

Summary:
- raw total energy (eV per cell) = -174.371
- space-group type = No. 38
- D(E_F) (states/eV per atom) = 0.72
- magnetization (μB/f.u.) = 0.00
- crystal system = orthorhombic
- ΔE_f (eV/atom) = -0.42

Entry 6:
La2CoAu | meta-GGA SCAN | single point on PBEsol structure

Cell and atoms, written as CIF:
```
data_La2CoAu
_chemical_formula_sum 'La2 Co1 Au1'
_cell_length_a 7.556
_cell_length_b 7.556
_cell_length_c 7.556
_cell_angle_alpha 30.71
_cell_angle_beta 30.71
_cell_angle_gamma 30.71
_symmetry_space_group_name_H-M 'P 1'
_symmetry_Int_Tables_number 1
loop_
_symmetry_equiv_pos_as_xyz
'x,y,z'
loop_
_atom_site_label
_atom_site_type_symbol
_atom_site_fract_x
_atom_site_fract_y
_atom_site_fract_z
La1 La 0.237 0.237 0.237
La2 La 0.763 0.763 0.763
Co1 Co 0.500 0.500 0.500
Au1 Au 0.000 0.000 0.000
```

Summary:
- raw total energy (eV per cell) = -174.167
- space-group type = No. 166
- D(E_F) (states/eV per atom) = 0.43
- magnetization (μB/f.u.) = 0.00
- crystal system = trigonal
- ΔE_f (eV/atom) = -0.37

Entry 7:
La2CoAu | meta-GGA SCAN | single point on PBEsol structure

Cell and atoms, written as CIF:
```
data_La2CoAu
_chemical_formula_sum 'La2 Co1 Au1'
_cell_length_a 5.054
_cell_length_b 5.054
_cell_length_c 3.620
_cell_angle_alpha 90.00
_cell_angle_beta 90.00
_cell_angle_gamma 90.00
_symmetry_space_group_name_H-M 'P 1'
_symmetry_Int_Tables_number 1
loop_
_symmetry_equiv_pos_as_xyz
'x,y,z'
loop_
_atom_site_label
_atom_site_type_symbol
_atom_site_fract_x
_atom_site_fract_y
_atom_site_fract_z
La1 La 0.000 0.500 0.000
La2 La 0.500 0.000 0.000
Co1 Co 0.000 0.000 0.500
Au1 Au 0.500 0.500 0.500
```

Summary:
- raw total energy (eV per cell) = -174.534
- space-group type = No. 123
- D(E_F) (states/eV per atom) = 0.73
- magnetization (μB/f.u.) = 0.99
- crystal system = tetragonal
- ΔE_f (eV/atom) = -0.47

Entry 8:
Li2CoAu | meta-GGA SCAN | single point on PBEsol structure

Cell and atoms, written as CIF:
```
data_Li2CoAu
_chemical_formula_sum 'Li2 Co1 Au1'
_cell_length_a 2.755
_cell_length_b 4.340
_cell_length_c 4.412
_cell_angle_alpha 90.00
_cell_angle_beta 90.00
_cell_angle_gamma 90.00
_symmetry_space_group_name_H-M 'P 1'
_symmetry_Int_Tables_number 1
loop_
_symmetry_equiv_pos_as_xyz
'x,y,z'
loop_
_atom_site_label
_atom_site_type_symbol
_atom_site_fract_x
_atom_site_fract_y
_atom_site_fract_z
Li1 Li 0.000 0.000 0.000
Li2 Li 0.500 0.000 0.500
Co1 Co 0.000 0.500 0.500
Au1 Au 0.500 0.500 0.000
```

Summary:
- raw total energy (eV per cell) = -91.691
- space-group type = No. 47
- D(E_F) (states/eV per atom) = 0.45
- magnetization (μB/f.u.) = 1.81
- crystal system = orthorhombic
- ΔE_f (eV/atom) = -0.11

Which value of D(E_F) does entry 4 give? 0.78 states/eV per atom

Look up the ΔE_f of the fourth one. -0.48 eV/atom

Which of these has the highest magnetization? number 1

The highest D(E_F) belongs to which entry? LaCoAu2